No. 1
# PBE-GGA Ta2MnAg, optimized geometry
# E   -8.550 eV/atom
# Magnetic moment   1.8 μB/f.u.
# Calculated formation energy   0.38 eV per atom
# Relative energy among the computed polymorphs   0.234 eV per atom
# DOS at the Fermi energy   1.028 states/eV/atom
data_Ta2MnAg
_chemical_formula_sum 'Ta2 Mn1 Ag1'
_symmetry_space_group_name_H-M 'P 1'
_symmetry_Int_Tables_number 1
_cell_length_a 5.0644
_cell_length_b 5.0644
_cell_length_c 5.0644
_cell_angle_alpha 133.66
_cell_angle_beta 133.66
_cell_angle_gamma 67.62
loop_
_symmetry_equiv_pos_as_xyz
'x,y,z'
loop_
_atom_site_label
_atom_site_type_symbol
_atom_site_fract_x
_atom_site_fract_y
_atom_site_fract_z
Ta1 Ta 0.0000 0.0000 0.0000
Ta2 Ta 0.7500 0.2500 0.5000
Mn1 Mn 0.5000 0.5000 0.0000
Ag1 Ag 0.2500 0.7500 0.5000

---

No. 2
# PBE-GGA Zr2PdN, optimized geometry
# E   -8.689 eV/atom
# Magnetic moment   0.0 μB/f.u.
# DOS at the Fermi energy   0.778 states/eV/atom
# Raw formation energy   -4.1 eV per formula unit
data_Zr2PdN
_chemical_formula_sum 'Zr2 Pd1 N1'
_symmetry_space_group_name_H-M 'P 1'
_symmetry_Int_Tables_number 1
_cell_length_a 7.3280
_cell_length_b 7.3280
_cell_length_c 7.3280
_cell_angle_alpha 25.52
_cell_angle_beta 25.52
_cell_angle_gamma 25.52
loop_
_symmetry_equiv_pos_as_xyz
'x,y,z'
loop_
_atom_site_label
_atom_site_type_symbol
_atom_site_fract_x
_atom_site_fract_y
_atom_site_fract_z
Zr1 Zr 0.2277 0.2277 0.2277
Zr2 Zr 0.7723 0.7723 0.7723
Pd1 Pd 0.0000 0.0000 0.0000
N1 N 0.5000 0.5000 0.5000

---

No. 3
# PBE-GGA SiHg, optimized geometry
# E   -2.505 eV/atom
# Magnetic moment   0.0 μB/f.u.
# Relative energy among the computed polymorphs   0.212 eV per atom
# DOS at the Fermi energy   0.375 states/eV/atom
# Raw formation energy   0.7 eV per formula unit
data_SiHg
_chemical_formula_sum 'Si6 Hg6'
_symmetry_space_group_name_H-M 'P 1'
_symmetry_Int_Tables_number 1
_cell_length_a 3.7697
_cell_length_b 10.4311
_cell_length_c 8.3306
_cell_angle_alpha 90.00
_cell_angle_beta 90.00
_cell_angle_gamma 90.00
loop_
_symmetry_equiv_pos_as_xyz
'x,y,z'
loop_
_atom_site_label
_atom_site_type_symbol
_atom_site_fract_x
_atom_site_fract_y
_atom_site_fract_z
Si1 Si 0.2500 0.0295 0.0694
Si2 Si 0.2500 0.4705 0.0694
Si3 Si 0.2500 0.7500 0.5629
Si4 Si 0.7500 0.2500 0.4371
Si5 Si 0.7500 0.5295 0.9306
Si6 Si 0.7500 0.9705 0.9306
Hg1 Hg 0.2500 0.2500 0.2110
Hg2 Hg 0.2500 0.5821 0.3419
Hg3 Hg 0.2500 0.9179 0.3419
Hg4 Hg 0.7500 0.0821 0.6581
Hg5 Hg 0.7500 0.4179 0.6581
Hg6 Hg 0.7500 0.7500 0.7890

---

No. 4
# PBE-GGA Y3ErIr2, optimized geometry
# E   -7.522 eV/atom
# Magnetic moment   0.0 μB/f.u.
# Calculated formation energy   -0.58 eV per atom
# Relative energy among the computed polymorphs   0.052 eV per atom
# DOS at the Fermi energy   0.766 states/eV/atom
data_Y3ErIr2
_chemical_formula_sum 'Y3 Er1 Ir2'
_symmetry_space_group_name_H-M 'P 1'
_symmetry_Int_Tables_number 1
_cell_length_a 8.0373
_cell_length_b 8.0373
_cell_length_c 8.0373
_cell_angle_alpha 149.25
_cell_angle_beta 146.14
_cell_angle_gamma 46.38
loop_
_symmetry_equiv_pos_as_xyz
'x,y,z'
loop_
_atom_site_label
_atom_site_type_symbol
_atom_site_fract_x
_atom_site_fract_y
_atom_site_fract_z
Y1 Y 0.0000 0.0000 0.0000
Y2 Y 0.1853 0.6853 0.5000
Y3 Y 0.8147 0.3147 0.5000
Er1 Er 0.5000 0.5000 0.0000
Ir1 Ir 0.3720 0.8720 0.5000
Ir2 Ir 0.6280 0.1280 0.5000

---

No. 5
# PBE-GGA Ag2HgC, optimized geometry
# E   -2.627 eV/atom
# Magnetic moment   0.0 μB/f.u.
# Calculated formation energy   1.18 eV per atom
# Relative energy among the computed polymorphs   0.000 eV per atom
# DOS at the Fermi energy   0.784 states/eV/atom
data_Ag2HgC
_chemical_formula_sum 'Ag4 Hg2 C2'
_symmetry_space_group_name_H-M 'P 1'
_symmetry_Int_Tables_number 1
_cell_length_a 6.3339
_cell_length_b 6.3339
_cell_length_c 6.3339
_cell_angle_alpha 121.97
_cell_angle_beta 121.97
_cell_angle_gamma 86.62
loop_
_symmetry_equiv_pos_as_xyz
'x,y,z'
loop_
_atom_site_label
_atom_site_type_symbol
_atom_site_fract_x
_atom_site_fract_y
_atom_site_fract_z
Ag1 Ag 0.0075 0.6250 0.8825
Ag2 Ag 0.3750 0.2575 0.3825
Ag3 Ag 0.7425 0.1250 0.1175
Ag4 Ag 0.8750 0.9925 0.6175
Hg1 Hg 0.2500 0.7500 0.5000
Hg2 Hg 0.5000 0.5000 0.0000
C1 C 0.0000 0.0000 0.0000
C2 C 0.7500 0.2500 0.5000

---

No. 6
# PBE-GGA SbTeIr2O, optimized geometry
# E   -5.325 eV/atom
# Magnetic moment   0.2 μB/f.u.
# DOS at the Fermi energy   1.198 states/eV/atom
# Raw formation energy   3.3 eV per formula unit
data_SbTeIr2O
_chemical_formula_sum 'Sb1 Te1 Ir2 O1'
_symmetry_space_group_name_H-M 'P 1'
_symmetry_Int_Tables_number 1
_cell_length_a 5.0248
_cell_length_b 5.0248
_cell_length_c 3.8863
_cell_angle_alpha 90.00
_cell_angle_beta 90.00
_cell_angle_gamma 90.00
loop_
_symmetry_equiv_pos_as_xyz
'x,y,z'
loop_
_atom_site_label
_atom_site_type_symbol
_atom_site_fract_x
_atom_site_fract_y
_atom_site_fract_z
Sb1 Sb 0.0000 0.0000 0.0000
Te1 Te 0.5000 0.5000 0.5000
Ir1 Ir 0.0000 0.5000 0.5000
Ir2 Ir 0.5000 0.0000 0.5000
O1 O 0.5000 0.5000 0.0000

---

No. 7
# PBE-GGA PmPr4S7, optimized geometry
# E   -6.443 eV/atom
# Magnetic moment   0.0 μB/f.u.
# DOS at the Fermi energy   0.114 states/eV/atom
# Raw formation energy   -24.6 eV per formula unit
data_PmPr4S7
_chemical_formula_sum 'Pm1 Pr4 S7'
_symmetry_space_group_name_H-M 'P 1'
_symmetry_Int_Tables_number 1
_cell_length_a 7.0315
_cell_length_b 7.0315
_cell_length_c 11.9987
_cell_angle_alpha 104.42
_cell_angle_beta 104.42
_cell_angle_gamma 32.91
loop_
_symmetry_equiv_pos_as_xyz
'x,y,z'
loop_
_atom_site_label
_atom_site_type_symbol
_atom_site_fract_x
_atom_site_fract_y
_atom_site_fract_z
Pm1 Pm 0.0000 0.0000 0.0000
Pr1 Pr 0.1119 0.1119 0.4202
Pr2 Pr 0.2233 0.2233 0.8436
Pr3 Pr 0.4131 0.4131 0.6122
Pr4 Pr 0.8113 0.8113 0.2308
S1 S 0.0692 0.0692 0.6364
S2 S 0.1541 0.1541 0.2035
S3 S 0.3750 0.3750 0.0696
S4 S 0.4520 0.4520 0.3704
S5 S 0.6093 0.6093 0.9220
S6 S 0.7718 0.7718 0.4720
S7 S 0.8527 0.8527 0.7748